[1]
Material: BaMgNO2
Method: DFT, meta-GGA SCAN
State: single point on PBEsol structure

Values from the calculation:
Crystal system = tetragonal
Total energy = -14.543 eV/atom
Formation energy from raw total energies = -1.29 eV per atom
Space group = P4/mmm (123)

Cell lengths 4.1071, 4.1071, 4.1784 Å; angles 90.00, 90.00, 90.00 degrees
Site moments in Bohr magnetons follow the coordinates.
Positions (direct):
Mg1 0.0000 0.0000 0.0000  -0.01
Ba1 0.5000 0.5000 0.5000  0.01
O1 0.0000 0.5000 0.0000  0.51
O2 0.5000 0.0000 0.0000  0.51
N1 0.0000 0.0000 0.5000  1.30


[2]
Material: BaMgS2N
Method: DFT, meta-GGA SCAN
State: single point on PBEsol structure

Values from the calculation:
Crystal system = tetragonal
Total energy = -15.348 eV/atom
Formation energy from raw total energies = -0.73 eV per atom
Space group = P4/mmm (123)

Cell lengths 4.2681, 4.9836, 4.9836 Å; angles 90.00, 90.00, 90.00 degrees
Site moments in Bohr magnetons follow the coordinates.
Positions (direct):
Mg1 0.0000 0.0000 0.0000  -0.01
S1 0.0000 0.0000 0.5000  0.33
S2 0.0000 0.5000 0.0000  0.33
Ba1 0.5000 0.5000 0.5000  0.01
N1 0.5000 0.0000 0.0000  1.39


[3]
Material: Ba4MgSi2N6
Method: DFT, meta-GGA SCAN
State: single point on PBEsol structure

Values from the calculation:
Crystal system = orthorhombic
Total energy = -19.529 eV/atom
Formation energy from raw total energies = -1.15 eV per atom
Space group = Fddd (70)

Cell lengths 6.9013, 6.9013, 10.9113 Å; angles 101.97, 101.97, 110.15 degrees
Positions (direct):
Ba1 0.8502 0.8502 0.7003
Ba2 0.1498 0.1498 0.2997
Ba3 0.3998 0.8998 0.7997
Ba4 0.1002 0.6002 0.2003
Ba5 0.6695 0.6695 0.3389
Ba6 0.3305 0.3305 0.6611
Ba7 0.5805 0.0805 0.1611
Ba8 0.9195 0.4195 0.8389
Mg1 0.5000 0.5000 0.0000
Mg2 0.7500 0.2500 0.5000
Si1 0.8420 0.8420 0.0000
Si2 0.1580 0.1580 0.0000
Si3 0.4080 0.9080 0.5000
Si4 0.0920 0.5920 0.5000
N1 0.7834 0.7748 0.1374
N2 0.6375 0.6460 0.8626
N3 0.2252 0.2166 0.8626
N4 0.3540 0.3625 0.1374
N5 0.4666 0.9752 0.3626
N6 0.6125 0.1040 0.6374
N7 0.0248 0.5334 0.6374
N8 0.8960 0.3875 0.3626
N9 0.8839 0.1161 0.0000
N10 0.1161 0.8839 0.0000
N11 0.3661 0.6339 0.5000
N12 0.1339 0.8661 0.5000


[4]
Material: BaNaMg3
Method: DFT, meta-GGA SCAN
State: single point on PBEsol structure

Values from the calculation:
Crystal system = cubic
Total energy = -11.422 eV/atom
Space group = Pm-3m (221)

Cell lengths 5.5687, 5.5687, 5.5687 Å; angles 90.00, 90.00, 90.00 degrees
Positions (direct):
Na1 0.0000 0.0000 0.0000
Mg1 0.0000 0.5000 0.0000
Mg2 0.0000 0.0000 0.5000
Mg3 0.5000 0.0000 0.0000
Ba1 0.5000 0.5000 0.5000


[5]
Material: BaNa2MgP2O8
Method: DFT, meta-GGA SCAN
State: single point on PBEsol structure

Values from the calculation:
Crystal system = trigonal
Total energy = -11.680 eV/atom
Formation energy from raw total energies = -2.85 eV per atom
Space group = P-3m1 (164)

Cell lengths 5.3320, 5.3320, 6.9565 Å; angles 90.00, 90.00, 120.00 degrees
Positions (direct):
Ba1 0.0000 0.0000 0.5000
Na1 0.6667 0.3333 0.8207
Na2 0.3333 0.6667 0.1793
Mg1 0.0000 0.0000 0.0000
P1 0.6667 0.3333 0.2601
P2 0.3333 0.6667 0.7399
O1 0.6667 0.3333 0.4807
O2 0.3333 0.6667 0.5193
O3 0.1764 0.8236 0.8195
O4 0.1764 0.3527 0.8195
O5 0.6473 0.8236 0.8195
O6 0.8236 0.1764 0.1805
O7 0.8236 0.6473 0.1805
O8 0.3527 0.1764 0.1805


[6]
Material: Ba3MgTaNbO9
Method: DFT, meta-GGA SCAN
State: single point on PBEsol structure

Values from the calculation:
Crystal system = trigonal
Total energy = -21.835 eV/atom
Formation energy from raw total energies = -3.21 eV per atom
Space group = P3m1 (156)

Cell lengths 5.7816, 5.7816, 7.0996 Å; angles 90.00, 90.00, 120.00 degrees
Positions (direct):
Ba1 0.6667 0.3333 0.9992
Ba2 0.3333 0.6667 0.3361
Ba3 0.0000 0.0000 0.6659
Mg1 0.6667 0.3333 0.5027
Ta1 0.3333 0.6667 0.8231
Nb1 0.0000 0.0000 0.1785
O1 0.0094 0.5047 0.6738
O2 0.4953 0.9906 0.6738
O3 0.4953 0.5047 0.6738
O4 0.3257 0.1628 0.3258
O5 0.8372 0.6743 0.3258
O6 0.8372 0.1628 0.3258
O7 0.1678 0.3357 0.9985
O8 0.1678 0.8322 0.9985
O9 0.6643 0.8322 0.9985


[7]
Material: BaMgNb2W
Method: DFT, meta-GGA SCAN
State: single point on PBEsol structure

Values from the calculation:
Crystal system = tetragonal
Total energy = -33.024 eV/atom
Space group = P4/mmm (123)

Cell lengths 5.0452, 4.9844, 4.9844 Å; angles 90.00, 90.00, 90.00 degrees
Site moments in Bohr magnetons follow the coordinates.
Positions (direct):
Mg1 0.5000 0.0000 0.0000  -0.01
Nb1 0.0000 0.0000 0.5000  -0.64
Nb2 0.0000 0.5000 0.0000  -0.64
Ba1 0.0000 0.0000 0.0000  -0.01
W1 0.5000 0.5000 0.5000  2.26


[8]
Material: BaMgNi
Method: DFT, meta-GGA SCAN
State: single point on PBEsol structure

Values from the calculation:
Crystal system = cubic
Total energy = -19.273 eV/atom
Space group = F-43m (216)

Cell lengths 5.1526, 5.1526, 5.1526 Å; angles 60.00, 60.00, 60.00 degrees
Positions (direct):
Ba1 0.7500 0.7500 0.7500
Mg1 0.0000 0.0000 0.0000
Ni1 0.5000 0.5000 0.5000